Record 1
# LaAl2Ni

LaAl2Ni at its PBEsol-relaxed geometry (meta-GGA SCAN, Alexandria via LeMat-Bulk).

Structure (extended XYZ):
```
16
Lattice="6.6483 0.0000 0.0000 0.0000 6.6483 0.0000 0.0000 0.0000 6.6483" Properties=species:S:1:pos:R:3 pbc="T T T"
La 0.0000 0.0000 0.0000
La 0.0000 3.3241 3.3241
La 3.3241 0.0000 3.3241
La 3.3241 3.3241 0.0000
Al 0.0000 0.0000 3.3241
Al 0.0000 3.3241 0.0000
Al 1.6621 1.6621 1.6621
Al 1.6621 4.9862 4.9862
Al 3.3241 0.0000 0.0000
Al 3.3241 3.3241 3.3241
Al 4.9862 1.6621 4.9862
Al 4.9862 4.9862 1.6621
Ni 1.6621 1.6621 4.9862
Ni 1.6621 4.9862 1.6621
Ni 4.9862 1.6621 1.6621
Ni 4.9862 4.9862 4.9862
```

Calculated values
final energy = -18.927 eV/atom
D(E_F) = 1.65 states/eV/f.u.
volume = 293.8 Å³/cell

---

Record 2
# Na2Mg2Te

Na2Mg2Te at its PBEsol-relaxed geometry (meta-GGA SCAN, Alexandria via LeMat-Bulk).

Structure (extended XYZ):
```
10
Lattice="7.6105 0.0000 0.0000 0.0000 7.6105 0.0000 0.0000 0.0000 5.1099" Properties=species:S:1:pos:R:3 pbc="T T T"
Na 1.2580 2.5473 0.0000
Na 2.5473 6.3525 0.0000
Na 5.0633 1.2580 0.0000
Na 6.3525 5.0633 0.0000
Mg 1.0184 4.8236 2.5550
Mg 2.7869 1.0184 2.5550
Mg 4.8236 6.5921 2.5550
Mg 6.5921 2.7869 2.5550
Te 0.0000 0.0000 2.5550
Te 3.8053 3.8053 2.5550
```

Calculated values
E_form (uncorrected) = -174.7 meV/atom
D(E_F) = 2.41 states/eV/f.u.
volume = 296.0 Å³/cell

---

Record 3
# Co2TeW

Co2TeW at its PBEsol-relaxed geometry (meta-GGA SCAN, Alexandria via LeMat-Bulk).

Structure (extended XYZ):
```
8
Lattice="5.2902 0.0000 0.0000 0.0000 7.2960 0.0000 0.0000 0.0000 2.9108" Properties=species:S:1:pos:R:3 pbc="T T T"
Co 1.3225 1.8240 0.0000
Co 1.3225 5.4720 0.0000
Co 3.9676 1.8240 0.0000
Co 3.9676 5.4720 0.0000
Te 0.0000 0.0000 1.4554
Te 2.6451 3.6480 1.4554
W 0.0000 3.6480 1.4554
W 2.6451 0.0000 1.4554
```

Calculated values
E_form (uncorrected) = 652.5 meV/atom
D(E_F) = 3.33 states/eV/f.u.
volume = 112.3 Å³/cell

---

Record 4
# Tc3BiW

Tc3BiW at its PBEsol-relaxed geometry (meta-GGA SCAN, Alexandria via LeMat-Bulk).

Structure (extended XYZ):
```
5
Lattice="4.6965 0.0000 0.0000 0.0000 4.6965 0.0000 0.0000 0.0000 4.6965" Properties=species:S:1:pos:R:3 pbc="T T T"
Tc 0.0000 0.0000 2.3482
Tc 0.0000 2.3482 0.0000
Tc 2.3482 0.0000 0.0000
Bi 2.3482 2.3482 2.3482
W 0.0000 0.0000 0.0000
```

Calculated values
final energy = -49.076 eV/atom
D(E_F) = 4.80 states/eV/f.u.
volume = 103.6 Å³/cell